Below is a geometry-optimized SrSmAsO structure, with properties calculated at the PBE level.

Unit cell a=4.637 b=7.454 c=6.585 alpha=90.00 beta=90.00 gamma=90.00
Positions (direct):
Sr: 0.000 0.801 0.935
Sr: 0.000 0.199 0.435
As: 0.000 0.787 0.406
As: 0.000 0.213 0.906
Sm: 0.500 0.611 0.538
Sm: 0.500 0.389 0.038
O: 0.500 0.653 0.875
O: 0.500 0.347 0.375

Summary:
Energy above the lowest structure with this stoichiometry = 0.0000 eV/atom
ρ = 4.799 g/cm3

---

Below is a geometry-optimized Hf2AlGaAg2 structure, with properties calculated at the PBE level.

Unit cell a=10.864 b=4.435 c=10.865 alpha=90.00 beta=109.49 gamma=90.00
Positions (direct):
Ga: 0.375 0.500 0.875
Ga: 0.000 0.000 0.750
Ga: 0.625 0.500 0.625
Ga: 0.875 0.500 0.375
Al: 0.250 0.000 0.500
Al: 0.750 0.000 0.000
Al: 0.499 0.000 0.250
Al: 0.125 0.500 0.125
Hf: 0.751 0.000 0.501
Hf: 0.875 0.500 0.873
Hf: 0.999 0.000 0.252
Hf: 0.501 0.000 0.750
Hf: 0.250 0.000 0.997
Hf: 0.624 0.500 0.125
Hf: 0.376 0.500 0.376
Hf: 0.124 0.500 0.626
Ag: 0.748 0.000 0.249
Ag: 0.500 0.000 0.499
Ag: 0.000 0.000 0.002
Ag: 0.875 0.500 0.624
Ag: 0.627 0.500 0.876
Ag: 0.250 0.000 0.747
Ag: 0.127 0.500 0.376
Ag: 0.374 0.500 0.126

Summary:
ρ = 9.009 g/cm3
Uncorrected energy = -5.408 eV per atom

---

Below is a geometry-optimized YTmGa2Co4 structure, with properties calculated at the PBE level.

Unit cell a=4.121 b=4.121 c=9.003 alpha=90.00 beta=90.00 gamma=120.00
Each line ends with the local moment (μB).
Positions (direct):
Ga: 0.667 0.333 0.752  -0.01
Ga: 0.667 0.333 0.248  -0.02
Co: 0.000 0.000 0.290  0.46
Co: 0.333 0.667 0.199  0.47
Co: 0.000 0.000 0.710  0.47
Co: 0.333 0.667 0.801  0.47
Tm: 0.000 0.000 0.000  -0.09
Y: 0.333 0.667 0.500  -0.06

Summary:
ρ = 7.938 g/cm3
Uncorrected energy = -5.968 eV per atom

---

Below is a geometry-optimized Cu2Ag3 structure, with properties calculated at the PBE level.

Unit cell a=10.014 b=10.014 c=3.974 alpha=90.00 beta=90.00 gamma=157.11
Positions (direct):
Ag: 0.694 0.306 0.500
Ag: 0.911 0.089 0.500
Ag: 0.806 0.194 0.000
Ag: 0.306 0.694 0.500
Ag: 0.194 0.806 0.000
Ag: 0.089 0.911 0.500
Cu: 0.500 0.500 0.500
Cu: 0.000 0.000 0.000
Cu: 0.413 0.587 0.000
Cu: 0.587 0.413 0.000

Summary:
Formation energy from the elements = 35 kJ/mol of formula units
Energy above the lowest structure with this stoichiometry = 0.0398 eV/atom
ρ = 9.656 g/cm3

---

Below is a geometry-optimized BaPt2S3 structure, with properties calculated at the PBE level.

Unit cell a=6.868 b=6.868 c=12.414 alpha=90.00 beta=90.00 gamma=90.00
Positions (direct):
Pt: 0.250 0.493 0.125
Pt: 0.250 0.993 0.125
Pt: 0.750 0.007 0.625
Pt: 0.493 0.250 0.875
Pt: 0.750 0.507 0.625
Pt: 0.507 0.750 0.375
Pt: 0.993 0.250 0.875
Pt: 0.007 0.750 0.375
S: 0.257 0.836 0.496
S: 0.757 0.664 0.254
S: 0.836 0.257 0.504
S: 0.243 0.243 0.000
S: 0.743 0.257 0.750
S: 0.664 0.757 0.746
S: 0.743 0.164 0.996
S: 0.243 0.336 0.754
S: 0.257 0.743 0.250
S: 0.164 0.743 0.004
S: 0.757 0.757 0.500
S: 0.336 0.243 0.246
Ba: 0.822 0.178 0.250
Ba: 0.178 0.822 0.750
Ba: 0.322 0.322 0.500
Ba: 0.678 0.678 0.000

Summary:
ρ = 7.074 g/cm3
Uncorrected energy = -5.383 eV per atom

---

Below is a geometry-optimized K2TbAg2Te4 structure, with properties calculated at the PBE level.

Unit cell a=7.782 b=7.782 c=6.653 alpha=90.00 beta=90.00 gamma=129.37
Positions (direct):
Tb: 0.000 0.000 0.000
Te: 0.375 0.142 0.741
Te: 0.142 0.375 0.259
Te: 0.625 0.858 0.741
Te: 0.858 0.625 0.259
Ag: 0.500 0.500 0.000
Ag: 0.000 0.000 0.500
K: 0.000 0.500 0.745
K: 0.500 0.000 0.255

Summary:
ρ = 5.136 g/cm3
Uncorrected energy = -3.545 eV per atom

---

Below is a geometry-optimized OsAuNO structure, with properties calculated at the PBE level.

Unit cell a=2.781 b=7.216 c=5.964 alpha=90.00 beta=90.00 gamma=90.00
Positions (direct):
N: 0.000 0.758 0.466
N: 0.000 0.258 0.534
O: 0.500 0.467 0.205
O: 0.500 0.967 0.795
Au: 0.500 0.016 0.156
Au: 0.500 0.516 0.844
Os: 0.000 0.513 0.440
Os: 0.000 0.013 0.560

Summary:
Energy above the lowest structure with this stoichiometry = 0.0000 eV/atom
ρ = 11.576 g/cm3

---

Below is a geometry-optimized Ir6S structure, with properties calculated at the PBE level.

Unit cell a=5.714 b=5.714 c=5.714 alpha=109.47 beta=109.47 gamma=109.47
Positions (direct):
Ir: 0.000 0.678 0.678
Ir: 0.678 0.000 0.678
Ir: 0.000 0.322 0.322
Ir: 0.322 0.000 0.322
Ir: 0.322 0.322 0.000
Ir: 0.678 0.678 0.000
S: 0.000 0.000 0.000

Summary:
ρ = 13.703 g/cm3
Uncorrected energy = -6.222 eV per atom

---

Record order is preserved below.
Volume: 113.8; 123.4; 132.4; 77.5; 146.4; 311.4; 59.8; 143.6 Å³/f.u.